A plane-wave DFT calculation with PBE was carried out for crystalline RePt at its relaxed geometry.

abc: 2.7871 2.7871 4.4998
angles: 90.00 90.00 120.00
With the nearest neighbours (Å) after each atom.
Space group P-6m2 (No. 187)
Symmetry-distinct sites (fractional):
Re1 0.0000 0.0000 0.0000 x1  6 Pt 2.77, 6 Re 2.79
Pt1 0.3333 0.6667 0.5000 x1  6 Re 2.77, 6 Pt 2.79

Summary:
Its size of the total moment is 0.0 μB/cell. The formation energy comes out at -10 meV per atom. As for the energy relative to the lowest polymorph listed for this composition: 0.230 eV/f.u.